DFT (PBE) results for a relaxed BaGaSe crystal.

The total magnetic moment is 0.81 Bohr magnetons per cell. As for the crystal system: orthorhombic. As for the formation energy (no corrections): -0.7378 eV/atom. The value obtained for the total energy is -42.59 eV/cell.

The structure belongs to space group Amm2 (No. 38); the cell edges are 10.571, 4.315 and 9.924 Å and the angles 90.00°, 90.00° and 90.00°. The asymmetric unit holds Ba at (0.202, 0.000, 0.000), Ga at (0.000, 0.000, 0.292), Ga at (0.500, 0.000, 0.863) and Se at (0.313, 0.000, 0.296).